Here is crystalline ZnNiRu at its relaxed geometry from the Alexandria database. Energies are from PBE.

As for the crystal system: cubic. Its energy above the lowest structure with this stoichiometry is 526.2 meV per atom. For the total magnetic moment, the calculation gives 2.0 μB/f.u. The calculation puts the total energy at -4.912 eV/atom. The calculated density comes out at 7.84 Mg/m³.

It has space group F-43m (No. 216), with a = 5.758 Å, b = 5.758 Å, c = 5.758 Å, α = 90.00°, β = 90.00° and γ = 90.00°. The inequivalent atoms are Zn at (0.000, 0.000, 0.000), Ni at (0.000, 0.000, 0.500) and Ru at (0.250, 0.250, 0.750).

***

Here is crystalline LiZn2P at its relaxed geometry from the Alexandria database. Energies are from PBE.

As for the crystal system: tetragonal. For the total magnetic moment, the calculation gives 0.0 μB/f.u. The calculation puts the total energy at -2.522 eV/atom. The calculated density comes out at 4.67 Mg/m³.

It has space group P4mm (No. 99), with a = 3.383 Å, b = 3.383 Å, c = 5.243 Å, α = 90.00°, β = 90.00° and γ = 90.00°. The inequivalent atoms are Li at (0.000, 0.000, 0.000), Zn at (0.000, 0.000, 0.479), Zn at (0.500, 0.500, 0.739) and P at (0.500, 0.500, 0.232).

***

Here is crystalline Ni5RuPt4 at its relaxed geometry from the Alexandria database. Energies are from PBE.

As for the crystal system: tetragonal. For the total magnetic moment, the calculation gives 2.7 μB/f.u. The calculation puts the total energy at -6.293 eV/atom. The calculated density comes out at 14.76 Mg/m³.

It has space group P4/mmm (No. 123), with a = 2.694 Å, b = 2.694 Å, c = 18.221 Å, α = 90.00°, β = 90.00° and γ = 90.00°. The inequivalent atoms are Ni at (0.000, 0.000, 0.000), Ni at (0.000, 0.000, 0.202), Ni at (0.000, 0.000, 0.405), Ru at (0.500, 0.500, 0.500), Pt at (0.500, 0.500, 0.101) and Pt at (0.500, 0.500, 0.303).

***

Here is crystalline ZrOs2Se at its relaxed geometry from the Alexandria database. Energies are from PBE.

As for the crystal system: monoclinic. The value obtained for the raw formation energy is 0.056 eV per atom. For the total magnetic moment, the calculation gives 0.0 μB/f.u. The calculation puts the total energy at -8.567 eV/atom. The calculated density comes out at 13.49 Mg/m³.

It has space group Cm (No. 8), with a = 9.675 Å, b = 3.050 Å, c = 4.806 Å, α = 90.00°, β = 107.06° and γ = 90.00°. The inequivalent atoms are Zr at (0.000, 0.000, 0.000), Os at (0.266, 0.500, 0.390), Os at (0.497, 0.000, 0.487) and Se at (0.237, 0.000, 0.786).

***

Here is crystalline NaAgHgTe at its relaxed geometry from the Alexandria database. Energies are from PBE.

As for the crystal system: cubic. The value obtained for the raw formation energy is -0.272 eV per atom. For the total magnetic moment, the calculation gives 0.0 μB/f.u. The calculation puts the total energy at -2.175 eV/atom. The calculated density comes out at 7.65 Mg/m³.

It has space group F-43m (No. 216), with a = 7.358 Å, b = 7.358 Å, c = 7.358 Å, α = 90.00°, β = 90.00° and γ = 90.00°. The inequivalent atoms are Na at (0.000, 0.000, 0.000), Ag at (0.000, 0.000, 0.500), Hg at (0.250, 0.250, 0.250) and Te at (0.250, 0.250, 0.750).

***

Here is crystalline LiMo2PdN at its relaxed geometry from the Alexandria database. Energies are from PBE.

As for the crystal system: tetragonal. The value obtained for the raw formation energy is -0.166 eV per atom. For the total magnetic moment, the calculation gives 0.0 μB/f.u. The calculation puts the total energy at -7.585 eV/atom. The calculated density comes out at 7.95 Mg/m³.

It has space group P4/mmm (No. 123), with a = 4.036 Å, b = 4.036 Å, c = 4.094 Å, α = 90.00°, β = 90.00° and γ = 90.00°. The inequivalent atoms are Li at (0.000, 0.000, 0.000), Mo at (0.000, 0.500, 0.500), Pd at (0.500, 0.500, 0.000) and N at (0.000, 0.000, 0.500).

***

Here is crystalline ScCdBW2 at its relaxed geometry from the Alexandria database. Energies are from PBE.

As for the crystal system: tetragonal. Its energy above the lowest structure with this stoichiometry is 0.0 meV per atom. For the total magnetic moment, the calculation gives 0.0 μB/f.u. The calculation puts the total energy at -7.610 eV/atom. The calculated density comes out at 10.72 Mg/m³.

It has space group P4/mmm (No. 123), with a = 4.299 Å, b = 4.299 Å, c = 4.490 Å, α = 90.00°, β = 90.00° and γ = 90.00°. The inequivalent atoms are Sc at (0.000, 0.000, 0.000), Cd at (0.500, 0.500, 0.000), B at (0.500, 0.500, 0.500) and W at (0.000, 0.500, 0.500).

***

Here is crystalline MgCd2Pt at its relaxed geometry from the Alexandria database. Energies are from PBE.

As for the crystal system: monoclinic. For the total magnetic moment, the calculation gives 0.0 μB/f.u. The calculation puts the total energy at -2.624 eV/atom. The calculated density comes out at 9.75 Mg/m³.

It has space group P2/m (No. 10), with a = 2.973 Å, b = 4.892 Å, c = 5.240 Å, α = 90.00°, β = 96.96° and γ = 90.00°. The inequivalent atoms are Mg at (0.000, 0.000, 0.000), Cd at (0.290, 0.500, 0.742) and Pt at (0.500, 0.000, 0.500).

***

Look up the calculated density of the seventh one.
10.72 Mg/m³

***

Look up the calculated density of the first one.
7.84 Mg/m³